# MgZr2Ru

An optimized crystal structure of MgZr2Ru (GGA-PBE, Alexandria via LeMat-Bulk).

As for the space-group type: Pm (6). The calculation puts the formation energy at -0.3 eV per formula unit. As for the volume: 79.6 Å³/f.u. The calculation puts the size of the total moment at 0.000 μB/f.u.

```
4
Lattice="4.544 0.000 0.000 0.000 3.177 -0.004 0.000 1.362 5.513" Properties=species:S:1:pos:R:3 pbc="T T T"
Mg 0.000 2.673 2.740
Ru 2.272 3.177 4.360
Zr 0.000 4.324 5.267
Zr 2.272 1.173 1.403
```